1.
AcNdBiAu | PBE | relaxed

Cell lengths 5.5946, 5.5946, 5.5946 Å; angles 60.00, 60.00, 60.00 degrees
Element x y z (fractional)
Nd  0.2500  0.2500  0.2500
Ac  0.7500  0.7500  0.7500
Au  0.0000  0.0000  0.0000
Bi  0.5000  0.5000  0.5000

Computed properties:
D(E_F) = 5.15 states/eV/cell
energy of formation = -0.679 eV/atom
magnetization = 0.0 μB/f.u.

2.
AcNiBiAu | PBE | relaxed

Cell lengths 5.1762, 5.1762, 5.1762 Å; angles 60.00, 60.00, 60.00 degrees
Element x y z (fractional)
Ni  0.2500  0.2500  0.2500
Ac  0.0000  0.0000  0.0000
Au  0.7500  0.7500  0.7500
Bi  0.5000  0.5000  0.5000

Computed properties:
D(E_F) = 3.11 states/eV/cell
energy of formation = -0.318 eV/atom
magnetization = 0.0 μB/f.u.